## PmTmU2As4 (PBE)

Data for an optimized crystal structure of PmTmU2As4. Values from VASP.

```
&SYSTEM
  ibrav = 0, nat = 8, ntyp = 4
/
ATOMIC_SPECIES
As 74.92 As.upf
Pm 145.00 Pm.upf
U 238.03 U.upf
Tm 168.93 Tm.upf
ATOMIC_POSITIONS crystal
As 0.0000 0.7452 0.2518
As 0.5000 0.7426 0.7440
As 0.0000 0.2547 0.7482
As 0.5000 0.2574 0.2560
Pm 0.0000 0.0000 0.0000
U 0.0000 0.5000 0.5000
U 0.5000 0.0000 0.5000
Tm 0.5000 0.5000 0.0000
CELL_PARAMETERS angstrom
-2.4552 1.6058 -2.8399
-0.0131 -6.1639 -3.4741
-5.4530 0.0457 4.7402
```

Values from the calculation:
The symmetry is P2/m, No. 10. The calculated formation energy is -1.119 eV per atom. The density of states at the Fermi level is 0.940 states/eV/atom.

## PmTm2UAs4 (PBE)

Data for an optimized crystal structure of PmTm2UAs4. Values from VASP.

```
&SYSTEM
  ibrav = 0, nat = 8, ntyp = 4
/
ATOMIC_SPECIES
As 74.92 As.upf
Pm 145.00 Pm.upf
Tm 168.93 Tm.upf
U 238.03 U.upf
ATOMIC_POSITIONS crystal
As 0.0000 0.7594 0.2559
As 0.5000 0.2467 0.2545
As 0.0000 0.2406 0.7441
As 0.5000 0.7533 0.7455
Pm 0.5000 0.5000 0.0000
Tm 0.0000 0.5000 0.5000
Tm 0.5000 0.0000 0.5000
U 0.0000 0.0000 0.0000
CELL_PARAMETERS angstrom
4.0983 0.0000 0.0000
0.0000 7.1197 0.1402
0.0000 -2.4726 6.6699
```

Values from the calculation:
The symmetry is P2/m, No. 10. The calculated formation energy is -1.304 eV per atom. The density of states at the Fermi level is 1.009 states/eV/atom.

## Pm2TmUAs4 (PBE)

Data for an optimized crystal structure of Pm2TmUAs4. Values from VASP.

```
&SYSTEM
  ibrav = 0, nat = 8, ntyp = 4
/
ATOMIC_SPECIES
As 74.92 As.upf
U 238.03 U.upf
Tm 168.93 Tm.upf
Pm 145.00 Pm.upf
ATOMIC_POSITIONS crystal
As 0.0000 0.2520 0.7633
As 0.5000 0.2458 0.2381
As 0.0000 0.7480 0.2367
As 0.5000 0.7542 0.7619
U 0.0000 0.0000 0.0000
Tm 0.5000 0.5000 0.0000
Pm 0.0000 0.5000 0.5000
Pm 0.5000 0.0000 0.5000
CELL_PARAMETERS angstrom
4.1385 0.0000 0.0000
0.0000 7.1827 0.1404
0.0000 -2.4950 6.7543
```

Values from the calculation:
The symmetry is P2/m, No. 10. The calculated formation energy is -1.317 eV per atom. The density of states at the Fermi level is 1.031 states/eV/atom.

## Pm2YTm3As6 (PBE)

Data for an optimized crystal structure of Pm2YTm3As6. Values from VASP.

```
&SYSTEM
  ibrav = 0, nat = 12, ntyp = 4
/
ATOMIC_SPECIES
As 74.92 As.upf
Pm 145.00 Pm.upf
Y 88.91 Y.upf
Tm 168.93 Tm.upf
ATOMIC_POSITIONS crystal
As 0.6673 0.0759 0.3346
As 0.6643 0.5893 0.3285
As 0.0028 0.7488 0.0056
As 0.9972 0.2512 0.9944
As 0.3357 0.4107 0.6715
As 0.3327 0.9241 0.6654
Pm 0.8340 0.6677 0.6680
Pm 0.1660 0.3323 0.3320
Y 0.5000 0.0000 0.0000
Tm 0.5000 0.5000 0.0000
Tm 0.1670 0.8337 0.3340
Tm 0.8330 0.1663 0.6660
CELL_PARAMETERS angstrom
-0.6920 -3.7686 1.5549
3.7840 -3.3841 -6.5180
7.0572 3.0789 5.1048
```

Values from the calculation:
The symmetry is C2/m, No. 12. The calculated formation energy is -1.514 eV per atom. The density of states at the Fermi level is 0.151 states/eV/atom.

Number 1: VASP energy -7.419 eV per atom. Number 2: VASP energy -6.751 eV per atom. Number 3: VASP energy -6.799 eV per atom. Number 4: VASP energy -6.287 eV per atom.